# 1
A relaxed BeB2Mo3 crystal. Source: Alexandria via LeMat-Bulk, functional PBE.

POSCAR file:
```
BeB2Mo3
1.0
9.102 0.000 0.000
0.000 3.157 0.000
0.000 0.000 9.096
Be B Mo
4 8 12
direct
0.132 0.250 0.121
0.368 0.750 0.621
0.632 0.250 0.379
0.868 0.750 0.879
0.036 0.750 0.183
0.191 0.750 0.506
0.309 0.250 0.006
0.464 0.250 0.683
0.536 0.750 0.317
0.691 0.750 0.994
0.809 0.250 0.494
0.964 0.250 0.817
0.061 0.250 0.376
0.119 0.750 0.929
0.195 0.250 0.691
0.305 0.750 0.191
0.381 0.250 0.429
0.439 0.750 0.876
0.561 0.250 0.124
0.619 0.750 0.571
0.695 0.250 0.809
0.805 0.750 0.309
0.881 0.250 0.071
0.939 0.750 0.624
```

Values from the calculation:
Calculated total energy = -8.64 eV per atom
Space-group type = Pnma, No. 62



# 2
A relaxed BeB3Mo crystal. Source: Alexandria via LeMat-Bulk, functional PBE.

POSCAR file:
```
BeB3Mo
1.0
3.538 0.000 0.000
0.000 3.538 0.000
0.000 0.000 3.538
Be B Mo
1 3 1
direct
0.000 0.000 0.000
0.000 0.000 0.500
0.000 0.500 0.000
0.500 0.000 0.000
0.500 0.500 0.500
```

Values from the calculation:
Calculated total energy = -5.66 eV per atom
Energy above the lowest structure with this stoichiometry = 1200 meV/atom
Space-group type = Pm-3m, No. 221



| no. | formation enthalpy at 0 K (eV per atom) |
| --- | --- |
| 1 | -0.38 |
| 2 | 1.26 |